Crystalline Ac2SnRh3 at its relaxed geometry. Source: Alexandria via LeMat-Bulk, functional GGA-PBE.

Unit cell a=4.491 b=4.491 c=17.583 alpha=90.00 beta=90.00 gamma=120.00
Positions (direct):
Ac: 0.000 0.000 0.612
Ac: 0.000 0.000 0.388
Ac: 0.000 0.000 0.112
Ac: 0.000 0.000 0.888
Sn: 0.667 0.333 0.750
Sn: 0.333 0.667 0.250
Rh: 0.667 0.333 0.250
Rh: 0.333 0.667 0.750
Rh: 0.667 0.333 0.501
Rh: 0.333 0.667 0.499
Rh: 0.333 0.667 0.001
Rh: 0.667 0.333 0.999

Values from the calculation:
**Energy relative to the lowest polymorph listed for this composition**: 0.000 eV per atom
**Raw total energy**: -6.298 eV/atom
**DFT formation energy**: -3.513 eV/f.u.

---

Crystalline AcSn4Rh4 at its relaxed geometry. Source: Alexandria via LeMat-Bulk, functional GGA-PBE.

Unit cell a=5.161 b=8.982 c=8.982 alpha=90.00 beta=90.00 gamma=90.00
Positions (direct):
Ac: 0.000 0.000 0.000
Ac: 0.500 0.500 0.500
Sn: 0.498 0.363 0.897
Sn: 0.998 0.603 0.863
Sn: 0.498 0.637 0.103
Sn: 0.002 0.137 0.603
Sn: 0.502 0.897 0.637
Sn: 0.002 0.863 0.397
Sn: 0.998 0.397 0.137
Sn: 0.502 0.103 0.363
Rh: 0.502 0.801 0.342
Rh: 0.502 0.199 0.658
Rh: 0.002 0.842 0.699
Rh: 0.998 0.301 0.842
Rh: 0.998 0.699 0.158
Rh: 0.498 0.342 0.199
Rh: 0.498 0.658 0.801
Rh: 0.002 0.158 0.301

Values from the calculation:
**Raw total energy**: -5.963 eV/atom
**DFT formation energy**: -4.140 eV/f.u.

---

Crystalline AcSn2Rh at its relaxed geometry. Source: Alexandria via LeMat-Bulk, functional GGA-PBE.

Unit cell a=4.613 b=4.675 c=10.032 alpha=103.47 beta=90.00 gamma=90.00
Positions (direct):
Ac: 0.000 0.860 0.720
Ac: 0.000 0.140 0.280
Sn: 0.000 0.500 0.000
Sn: 0.500 0.000 0.000
Sn: 0.500 0.707 0.415
Sn: 0.500 0.293 0.585
Rh: 0.500 0.574 0.147
Rh: 0.500 0.426 0.853

Values from the calculation:
**Energy relative to the lowest polymorph listed for this composition**: 0.000 eV per atom
**Raw total energy**: -5.597 eV/atom
**DFT formation energy**: -2.922 eV/f.u.

---

Crystalline Ac7Sn2Rh2 at its relaxed geometry. Source: Alexandria via LeMat-Bulk, functional GGA-PBE.

Unit cell a=7.499 b=7.585 c=7.499 alpha=90.00 beta=109.11 gamma=90.00
Positions (direct):
Ac: 0.000 0.255 0.500
Ac: 0.500 0.745 0.000
Ac: 0.000 0.745 0.500
Ac: 0.500 0.255 0.000
Ac: 0.000 0.000 0.000
Ac: 0.500 0.761 0.500
Ac: 0.500 0.239 0.500
Sn: 0.831 0.500 0.831
Sn: 0.169 0.500 0.169
Rh: 0.712 0.000 0.288
Rh: 0.288 0.000 0.712

Values from the calculation:
**Energy relative to the lowest polymorph listed for this composition**: 0.050 eV per atom
**Raw total energy**: -5.124 eV/atom
**DFT formation energy**: -4.898 eV/f.u.

---

Crystalline Ac2Sn5Rh3 at its relaxed geometry. Source: Alexandria via LeMat-Bulk, functional GGA-PBE.

Unit cell a=6.556 b=9.225 c=9.225 alpha=74.06 beta=69.19 gamma=69.19
Positions (direct):
Ac: 0.141 0.590 0.128
Ac: 0.641 0.128 0.590
Ac: 0.859 0.410 0.872
Ac: 0.359 0.872 0.410
Sn: 0.409 0.251 0.930
Sn: 0.909 0.930 0.251
Sn: 0.591 0.749 0.070
Sn: 0.091 0.070 0.749
Sn: 0.477 0.773 0.773
Sn: 0.523 0.227 0.227
Sn: 0.750 0.500 0.500
Sn: 0.250 0.500 0.500
Sn: 0.023 0.227 0.227
Sn: 0.977 0.773 0.773
Rh: 0.361 0.529 0.748
Rh: 0.861 0.748 0.529
Rh: 0.639 0.471 0.252
Rh: 0.139 0.252 0.471
Rh: 0.250 0.000 0.000
Rh: 0.750 0.000 0.000

Values from the calculation:
**Energy relative to the lowest polymorph listed for this composition**: 0.000 eV per atom
**Raw total energy**: -5.737 eV/atom
**DFT formation energy**: -7.087 eV/f.u.

---

Crystalline AcSn3Rh2 at its relaxed geometry. Source: Alexandria via LeMat-Bulk, functional GGA-PBE.

Unit cell a=4.512 b=9.157 c=10.935 alpha=106.95 beta=90.00 gamma=104.26
Positions (direct):
Ac: 0.155 0.311 0.704
Ac: 0.845 0.689 0.296
Ac: 0.000 0.000 0.000
Sn: 0.045 0.091 0.350
Sn: 0.955 0.909 0.650
Sn: 0.221 0.442 0.384
Sn: 0.779 0.558 0.616
Sn: 0.631 0.262 0.191
Sn: 0.369 0.738 0.809
Sn: 0.500 0.000 0.500
Sn: 0.336 0.672 0.054
Sn: 0.664 0.328 0.946
Rh: 0.199 0.398 0.117
Rh: 0.801 0.602 0.883
Rh: 0.484 0.968 0.229
Rh: 0.516 0.032 0.771
Rh: 0.361 0.722 0.560
Rh: 0.639 0.278 0.440

Values from the calculation:
**Energy relative to the lowest polymorph listed for this composition**: 0.000 eV per atom
**Raw total energy**: -5.749 eV/atom
**DFT formation energy**: -3.675 eV/f.u.

---

Crystalline Ac7Sn4Rh at its relaxed geometry. Source: Alexandria via LeMat-Bulk, functional GGA-PBE.

Unit cell a=5.718 b=10.136 c=8.915 alpha=77.98 beta=71.29 gamma=73.62
Positions (direct):
Ac: 0.785 0.867 0.562
Ac: 0.215 0.133 0.438
Ac: 0.075 0.720 0.129
Ac: 0.925 0.280 0.871
Ac: 0.358 0.554 0.731
Ac: 0.500 0.000 0.000
Ac: 0.642 0.446 0.269
Sn: 0.578 0.222 0.623
Sn: 0.422 0.778 0.377
Sn: 0.724 0.653 0.899
Sn: 0.276 0.347 0.101
Rh: 0.000 0.000 0.000

Values from the calculation:
**Raw total energy**: -4.805 eV/atom
**DFT formation energy**: -5.538 eV/f.u.

---

Crystalline Ac4Sn6Rh7 at its relaxed geometry. Source: Alexandria via LeMat-Bulk, functional GGA-PBE.

Unit cell a=7.975 b=7.975 c=7.975 alpha=109.47 beta=109.47 gamma=109.47
Positions (direct):
Ac: 0.500 0.000 0.000
Ac: 0.500 0.500 0.500
Ac: 0.000 0.500 0.000
Ac: 0.000 0.000 0.500
Sn: 0.669 0.000 0.669
Sn: 0.669 0.669 0.000
Sn: 0.000 0.331 0.331
Sn: 0.331 0.000 0.331
Sn: 0.331 0.331 0.000
Sn: 0.000 0.669 0.669
Rh: 0.750 0.500 0.250
Rh: 0.250 0.750 0.500
Rh: 0.500 0.750 0.250
Rh: 0.750 0.250 0.500
Rh: 0.250 0.500 0.750
Rh: 0.500 0.250 0.750
Rh: 0.000 0.000 0.000

Values from the calculation:
**Raw total energy**: -6.088 eV/atom
**DFT formation energy**: -11.581 eV/f.u.

---

Crystalline Ac3Sn2Rh at its relaxed geometry. Source: Alexandria via LeMat-Bulk, functional GGA-PBE.

Unit cell a=4.673 b=12.803 c=13.313 alpha=90.00 beta=90.00 gamma=90.00
Positions (direct):
Ac: 0.250 0.372 0.052
Ac: 0.750 0.628 0.948
Ac: 0.750 0.872 0.448
Ac: 0.250 0.128 0.552
Ac: 0.250 0.707 0.235
Ac: 0.750 0.293 0.765
Ac: 0.750 0.207 0.265
Ac: 0.250 0.793 0.735
Ac: 0.250 0.454 0.383
Ac: 0.750 0.546 0.617
Ac: 0.750 0.954 0.117
Ac: 0.250 0.046 0.883
Sn: 0.250 0.690 0.489
Sn: 0.750 0.310 0.511
Sn: 0.750 0.190 0.011
Sn: 0.250 0.810 0.989
Sn: 0.250 0.005 0.305
Sn: 0.750 0.995 0.695
Sn: 0.750 0.505 0.195
Sn: 0.250 0.495 0.805
Rh: 0.250 0.135 0.130
Rh: 0.750 0.865 0.870
Rh: 0.750 0.635 0.370
Rh: 0.250 0.365 0.630

Values from the calculation:
**Energy relative to the lowest polymorph listed for this composition**: 0.000 eV per atom
**Raw total energy**: -5.353 eV/atom
**DFT formation energy**: -4.437 eV/f.u.

---

Crystalline Ac2Sn3Rh4 at its relaxed geometry. Source: Alexandria via LeMat-Bulk, functional GGA-PBE.

Unit cell a=6.228 b=7.484 c=8.981 alpha=90.00 beta=110.29 gamma=90.00
Positions (direct):
Ac: 0.105 0.580 0.209
Ac: 0.895 0.420 0.791
Ac: 0.395 0.080 0.791
Ac: 0.605 0.920 0.209
Sn: 0.000 0.000 0.000
Sn: 0.500 0.500 0.000
Sn: 0.518 0.750 0.536
Sn: 0.982 0.250 0.464
Sn: 0.482 0.250 0.464
Sn: 0.018 0.750 0.536
Rh: 0.678 0.750 0.856
Rh: 0.822 0.250 0.144
Rh: 0.322 0.250 0.144
Rh: 0.178 0.750 0.856
Rh: 0.173 0.975 0.346
Rh: 0.827 0.025 0.654
Rh: 0.327 0.475 0.654
Rh: 0.673 0.525 0.346

Values from the calculation:
**Raw total energy**: -6.239 eV/atom
**DFT formation energy**: -6.521 eV/f.u.

---

Crystalline AcSnRh2 at its relaxed geometry. Source: Alexandria via LeMat-Bulk, functional GGA-PBE.

Unit cell a=7.381 b=6.485 c=8.693 alpha=90.00 beta=90.00 gamma=90.00
Positions (direct):
Ac: 0.000 0.250 0.680
Ac: 0.500 0.750 0.209
Ac: 0.000 0.750 0.320
Ac: 0.500 0.250 0.791
Sn: 0.500 0.750 0.723
Sn: 0.500 0.250 0.277
Sn: 0.000 0.250 0.250
Sn: 0.000 0.750 0.750
Rh: 0.000 0.000 0.000
Rh: 0.500 0.500 0.500
Rh: 0.289 0.750 0.959
Rh: 0.711 0.250 0.041
Rh: 0.711 0.750 0.959
Rh: 0.289 0.250 0.041
Rh: 0.000 0.500 0.000
Rh: 0.500 0.000 0.500

Values from the calculation:
**Raw total energy**: -5.837 eV/atom
**DFT formation energy**: -0.533 eV/f.u.

---

Crystalline Ac2Sn2Rh3 at its relaxed geometry. Source: Alexandria via LeMat-Bulk, functional GGA-PBE.

Unit cell a=7.723 b=7.723 c=7.723 alpha=109.47 beta=109.47 gamma=109.47
Positions (direct):
Ac: 0.000 0.000 0.489
Ac: 0.500 0.489 0.500
Ac: 0.511 0.011 0.011
Ac: 0.989 0.500 0.000
Sn: 0.000 0.000 0.920
Sn: 0.500 0.920 0.500
Sn: 0.080 0.580 0.580
Sn: 0.420 0.500 0.000
Rh: 0.771 0.750 0.021
Rh: 0.729 0.250 0.479
Rh: 0.979 0.229 0.250
Rh: 0.521 0.271 0.750
Rh: 0.250 0.021 0.271
Rh: 0.750 0.479 0.229

Values from the calculation:
**Energy relative to the lowest polymorph listed for this composition**: 0.027 eV per atom
**Raw total energy**: -6.107 eV/atom
**DFT formation energy**: -4.473 eV/f.u.